(1)
GGA-PBE KVCr3, relaxed; crystal system = cubic; space-group type = Pm-3m, No. 221; E = -5.066 eV/atom; ΔE to the lowest computed polymorph = 1.4253 eV/atom; ΔE_f = 2751 meV/atom
1.0
5.2532 0.0000 0.0000
0.0000 5.2532 0.0000
0.0000 0.0000 5.2532
K V Cr
1 1 3
direct
0.0000 0.0000 0.0000
0.5000 0.5000 0.5000
0.0000 0.0000 0.5000
0.0000 0.5000 0.0000
0.5000 0.0000 0.0000

***

(2)
GGA-PBE KV3Cr, relaxed; crystal system = cubic; space-group type = Pm-3m, No. 221; E = -5.067 eV/atom; ΔE to the lowest computed polymorph = 1.2706 eV/atom; ΔE_f = 2549 meV/atom
1.0
4.3032 0.0000 0.0000
0.0000 4.3032 0.0000
0.0000 0.0000 4.3032
K V Cr
1 3 1
direct
0.0000 0.0000 0.0000
0.0000 0.0000 0.5000
0.0000 0.5000 0.0000
0.5000 0.0000 0.0000
0.5000 0.5000 0.5000

***

(3)
GGA-PBE KVCr3, relaxed; crystal system = cubic; space-group type = Pm-3m, No. 221; E = -6.491 eV/atom; ΔE to the lowest computed polymorph = 0.0000 eV/atom; ΔE_f = 1326 meV/atom
1.0
4.8024 0.0000 0.0000
0.0000 4.8024 0.0000
0.0000 0.0000 4.8024
K V Cr
1 1 3
direct
0.0000 0.0000 0.0000
0.5000 0.5000 0.5000
0.0000 0.5000 0.5000
0.5000 0.0000 0.5000
0.5000 0.5000 0.0000

***

(4)
GGA-PBE KV3Cr, relaxed; crystal system = cubic; space-group type = Pm-3m, No. 221; E = -6.337 eV/atom; ΔE to the lowest computed polymorph = 0.0000 eV/atom; ΔE_f = 1278 meV/atom
1.0
4.6734 0.0000 0.0000
0.0000 4.6734 0.0000
0.0000 0.0000 4.6734
K V Cr
1 3 1
direct
0.0000 0.0000 0.0000
0.0000 0.5000 0.5000
0.5000 0.0000 0.5000
0.5000 0.5000 0.0000
0.5000 0.5000 0.5000

***

(5)
GGA-PBE KV2ZnCr, relaxed; crystal system = tetragonal; space-group type = P4/mmm, No. 123; E = -4.677 eV/atom; ΔE_f = 1369 meV/atom
1.0
5.0107 0.0000 0.0000
0.0000 5.0107 0.0000
0.0000 0.0000 5.0467
K V Zn Cr
1 2 1 1
direct
0.0000 0.0000 0.0000
0.0000 0.5000 0.5000
0.5000 0.0000 0.5000
0.5000 0.5000 0.5000
0.5000 0.5000 0.0000

***

(6)
GGA-PBE KCr2W, relaxed; crystal system = monoclinic; space-group type = Cm, No. 8; E = -7.210 eV/atom; ΔE to the lowest computed polymorph = 0.2761 eV/atom; ΔE_f = 1114 meV/atom
1.0
3.7936 -1.4387 0.0000
3.7936 1.4387 0.0000
-0.5509 0.0000 8.1545
K Cr W
1 2 1
direct
0.0000 0.0000 0.0000
0.2312 0.2312 0.6472
0.5032 0.5032 0.5059
0.7758 0.7758 0.3624